TbHo3Pb2C: optimized geometry, PBE.

Raw total energy in eV per atom: -5.537
DOS(E_F) in states/eV/cell: 1.45
Spin magnetization in μB per formula unit: 0.00

Cell: 4.8091 4.8471 16.0388 Å, 90.00 90.00 90.00°
With the nearest neighbours (Å) after each atom.
Space group Immm (No. 71)
Symmetry-distinct sites (fractional):
Tb (0.0000, 0.0000, 0.0000) x2  2 C 2.42
Ho (0.0000, 0.0000, 0.5000) x2  2 C 2.40
Ho (0.0000, 0.5000, 0.1569) x4  1 C 2.52
Pb (0.0000, 0.5000, 0.3572) x4  7 Ho 3.21-3.42, 2 Tb 3.32
C (0.0000, 0.5000, 0.0000) x2  4 Ho 2.40-2.52, 2 Tb 2.42

TbHo2PbC: optimized geometry, PBE.

Raw total energy in eV per atom: -5.887
DOS(E_F) in states/eV/cell: 2.15
Spin magnetization in μB per formula unit: 0.00

Cell: 4.8927 4.8927 4.9498 Å, 90.00 90.00 90.00°
With the nearest neighbours (Å) after each atom.
Space group P4/mmm (No. 123)
Symmetry-distinct sites (fractional):
Tb (0.0000, 0.0000, 0.0000) x1  2 C 2.47
Ho (0.0000, 0.5000, 0.5000) x2  2 C 2.45
Pb (0.5000, 0.5000, 0.0000) x1  4 Tb 3.46, 8 Ho 3.48
C (0.0000, 0.0000, 0.5000) x1  4 Ho 2.45, 2 Tb 2.47

Tb2HoPbC: optimized geometry, PBE.

Raw total energy in eV per atom: -5.890
DOS(E_F) in states/eV/cell: 2.21
Spin magnetization in μB per formula unit: 0.00

Cell: 4.9503 4.9503 4.8922 Å, 90.00 90.00 90.00°
With the nearest neighbours (Å) after each atom.
Space group P4/mmm (No. 123)
Symmetry-distinct sites (fractional):
Tb (0.0000, 0.5000, 0.0000) x2  2 C 2.48
Ho (0.0000, 0.0000, 0.5000) x1  2 C 2.45
Pb (0.5000, 0.5000, 0.5000) x1  8 Tb 3.48, 4 Ho 3.50
C (0.0000, 0.0000, 0.0000) x1  2 Ho 2.45, 4 Tb 2.48

Ho4TlPbC: optimized geometry, PBE.

Raw total energy in eV per atom: -5.240
DOS(E_F) in states/eV/cell: 18.30
Spin magnetization in μB per formula unit: 0.00

Cell: 6.8301 15.7739 6.8232 Å, 90.00 90.00 90.00°
With the nearest neighbours (Å) after each atom.
Space group Cmcm (No. 63)
Symmetry-distinct sites (fractional):
Ho (0.0000, 0.0893, 0.2500) x4  1 C 2.52
Ho (0.0000, 0.4086, 0.2500) x4  1 C 2.51
Ho (0.2500, 0.2500, 0.0000) x8  2 C 2.41
Tl (0.0000, 0.1118, 0.7500) x4  9 Ho 3.17-3.43
Pb (0.0000, 0.3904, 0.7500) x4  9 Ho 3.17-3.43
C (0.0000, 0.2492, 0.2500) x4  6 Ho 2.41-2.52

HoTm2PbC: optimized geometry, PBE.

Raw total energy in eV per atom: -5.852
DOS(E_F) in states/eV/cell: 2.00
Spin magnetization in μB per formula unit: 0.00

Cell: 4.8374 4.8374 4.8914 Å, 90.00 90.00 90.00°
With the nearest neighbours (Å) after each atom.
Space group P4/mmm (No. 123)
Symmetry-distinct sites (fractional):
Ho (0.0000, 0.0000, 0.0000) x1  2 C 2.45
Tm (0.0000, 0.5000, 0.5000) x2  2 C 2.42
Pb (0.5000, 0.5000, 0.0000) x1  4 Ho 3.42, 8 Tm 3.44
C (0.0000, 0.0000, 0.5000) x1  4 Tm 2.42, 2 Ho 2.45

Ho2TmPbC: optimized geometry, PBE.

Raw total energy in eV per atom: -5.869
DOS(E_F) in states/eV/cell: 2.05
Spin magnetization in μB per formula unit: 0.00

Cell: 4.8922 4.8922 4.8380 Å, 90.00 90.00 90.00°
With the nearest neighbours (Å) after each atom.
Space group P4/mmm (No. 123)
Symmetry-distinct sites (fractional):
Ho (0.0000, 0.5000, 0.0000) x2  2 C 2.45
Tm (0.0000, 0.0000, 0.5000) x1  2 C 2.42
Pb (0.5000, 0.5000, 0.5000) x1  8 Ho 3.44, 4 Tm 3.46
C (0.0000, 0.0000, 0.0000) x1  2 Tm 2.42, 4 Ho 2.45